(1)
# SrCoSbI2

A geometry-optimized SrCoSbI2 structure (PBEsol, the Alexandria database).

CIF file:
```
data_SrCoSbI2
_chemical_formula_sum 'Sr1 Co1 Sb1 I2'
_symmetry_space_group_name_H-M 'P 4/m m m'
_symmetry_Int_Tables_number 123
_symmetry_space_group_name_Hall '-P 4 2'
_cell_length_a 5.3716
_cell_length_b 5.3716
_cell_length_c 4.8979
_cell_angle_alpha 90.00
_cell_angle_beta 90.00
_cell_angle_gamma 90.00
loop_
_atom_site_label
_atom_site_type_symbol
_atom_site_fract_x
_atom_site_fract_y
_atom_site_fract_z
Sr1 Sr 0.0000 0.0000 0.0000
Co1 Co 0.5000 0.5000 0.5000
Sb1 Sb 0.5000 0.5000 0.0000
I1 I 0.0000 0.5000 0.5000
```

=====

(2)
# K2ZrO3

A geometry-optimized K2ZrO3 structure (PBEsol, the Alexandria database).

CIF file:
```
data_K2ZrO3
_chemical_formula_sum 'K8 Zr4 O12'
_symmetry_space_group_name_H-M 'P n m a'
_symmetry_Int_Tables_number 62
_symmetry_space_group_name_Hall '-P 2ac 2n'
_cell_length_a 5.8502
_cell_length_b 10.4211
_cell_length_c 6.9169
_cell_angle_alpha 90.00
_cell_angle_beta 90.00
_cell_angle_gamma 90.00
loop_
_atom_site_label
_atom_site_type_symbol
_atom_site_fract_x
_atom_site_fract_y
_atom_site_fract_z
K1 K 0.2342 0.0855 0.1128
Zr1 Zr 0.2210 0.7500 0.1582
O1 O 0.0165 0.1210 0.7299
O2 O 0.1569 0.7500 0.8875
```

=====

(3)
# LiYSb2 (PBEsol, relaxed)
data_LiYSb2
_chemical_formula_sum 'Li1 Y1 Sb2'
_symmetry_space_group_name_H-M 'P 4 m m'
_symmetry_Int_Tables_number 99
_symmetry_space_group_name_Hall 'P 4 -2'
_cell_length_a 4.0847
_cell_length_b 4.0847
_cell_length_c 6.0448
_cell_angle_alpha 90.00
_cell_angle_beta 90.00
_cell_angle_gamma 90.00
loop_
_atom_site_label
_atom_site_type_symbol
_atom_site_fract_x
_atom_site_fract_y
_atom_site_fract_z
Li1 Li 0.0000 0.0000 0.0000
Y1 Y 0.5000 0.5000 0.6499
Sb1 Sb 0.0000 0.0000 0.4979
Sb2 Sb 0.5000 0.5000 0.1447
# Distance to the lowest polymorph of the same formula: 0.144 eV/atom

=====

(4)
# TiSe2I (PBEsol, relaxed)
data_TiSe2I
_chemical_formula_sum 'Ti4 Se8 I4'
_symmetry_space_group_name_H-M 'F m -3 m'
_symmetry_Int_Tables_number 225
_symmetry_space_group_name_Hall '-F 4 2 3'
_cell_length_a 6.8734
_cell_length_b 6.8734
_cell_length_c 6.8734
_cell_angle_alpha 90.00
_cell_angle_beta 90.00
_cell_angle_gamma 90.00
loop_
_atom_site_label
_atom_site_type_symbol
_atom_site_fract_x
_atom_site_fract_y
_atom_site_fract_z
Ti1 Ti 0.0000 0.0000 0.0000
Se1 Se 0.2500 0.2500 0.2500
I1 I 0.0000 0.0000 0.5000
# Distance to the lowest polymorph of the same formula: 0.000 eV/atom

=====

Calculated values (eV per atom) of energy relative to the elements, uncorrected for the records, taken in order: -0.33 -2.49 -0.57 0.08.